#one
TbPr7Er4 | PBE | optimized geometry

abc: 6.0441 9.7555 8.6623
angles: 61.95 69.58 71.95
With the nearest neighbours (Å) after each atom.
Sites, in units of the cell vectors:
1 Pr 0.2124 0.1125 0.4628  6 Pr 3.38-3.69, 2 Er 3.74
2 Pr 0.9127 0.4523 0.7222  3 Pr 3.35-3.69, 3 Er 3.50-3.54
3 Pr 0.5000 0.0000 0.0000  2 Tb 3.02, 2 Er 3.37
4 Pr 0.7833 0.2453 0.1880  1 Tb 3.21, 4 Er 3.22-3.49, 2 Pr 3.38-3.48
5 Pr 0.2167 0.7547 0.8120  1 Tb 3.21, 4 Er 3.22-3.49, 2 Pr 3.38-3.48
6 Pr 0.7876 0.8875 0.5372  6 Pr 3.38-3.69, 2 Er 3.74
7 Pr 0.0873 0.5477 0.2778  3 Pr 3.35-3.69, 3 Er 3.50-3.54
8 Er 0.5686 0.3006 0.5622  2 Pr 3.28-3.51, 2 Er 3.42-3.58
9 Er 0.3317 0.3753 0.9613  7 Pr 3.22-3.54, 1 Er 3.58
10 Er 0.4314 0.6994 0.4378  2 Pr 3.28-3.51, 2 Er 3.42-3.58
11 Er 0.6683 0.6247 0.0387  7 Pr 3.22-3.54, 1 Er 3.58
12 Tb 0.0000 0.0000 0.0000  4 Pr 3.02-3.21

Summary:
Fermi-level density of states   19.485 states/eV/f.u.
Magnetization   0.03 μB/f.u.
Crystal system   monoclinic
Density   7245 kg/m3

#two
TbPr7Er4 | PBE | optimized geometry

abc: 7.3220 9.6986 9.0260
angles: 81.16 89.96 40.97
With the nearest neighbours (Å) after each atom.
Sites, in units of the cell vectors:
1 Er 0.4691 0.2764 0.6670  3 Er 3.58-3.67, 8 Pr 3.59-3.70, 1 Tb 3.62
2 Er 0.7185 0.7813 0.6639  4 Er 3.56-3.67, 8 Pr 3.58-3.67
3 Er 0.5309 0.7236 0.3330  3 Er 3.58-3.67, 8 Pr 3.59-3.70, 1 Tb 3.62
4 Er 0.2815 0.2187 0.3361  4 Er 3.56-3.67, 8 Pr 3.58-3.67
5 Tb 0.0000 0.0000 0.0000  10 Pr 3.62-3.69, 2 Er 3.62
6 Pr 0.5000 0.0000 0.0000  4 Er 3.59-3.62, 6 Pr 3.63-3.66, 2 Tb 3.66
7 Pr 0.2216 0.7781 0.6657  6 Pr 3.59-3.69, 1 Tb 3.62, 5 Er 3.62-3.69
8 Pr 0.7784 0.2219 0.3343  6 Pr 3.59-3.69, 1 Tb 3.62, 5 Er 3.62-3.69
9 Pr 0.9695 0.2813 0.6640  6 Er 3.58-3.70, 5 Pr 3.59-3.69, 1 Tb 3.64
10 Pr 0.0305 0.7187 0.3360  6 Er 3.58-3.70, 5 Pr 3.59-3.69, 1 Tb 3.64
11 Pr 0.2466 0.4997 0.9971  3 Er 3.59-3.64, 7 Pr 3.61-3.72, 2 Tb 3.68-3.69
12 Pr 0.7534 0.5003 0.0029  3 Er 3.59-3.64, 7 Pr 3.61-3.72, 2 Tb 3.68-3.69

Summary:
Fermi-level density of states   16.803 states/eV/f.u.
Magnetization   0.00 μB/f.u.
Crystal system   triclinic
Density   7372 kg/m3

Relative energies, unit meV/atom: #one 202; #two 0

#one
Tb3PrEr4 | PBE | optimized geometry

abc: 6.2701 7.2644 11.2931
angles: 90.00 90.00 90.00
With the nearest neighbours (Å) after each atom.
Sites, in units of the cell vectors:
1 Tb 0.9815 0.6277 0.7500  6 Er 3.51-3.67, 2 Pr 3.52-3.53, 4 Tb 3.52-3.64
2 Tb 0.4815 0.3723 0.7500  6 Er 3.51-3.67, 2 Pr 3.52-3.53, 4 Tb 3.52-3.64
3 Tb 0.6466 0.6275 0.0000  6 Er 3.50-3.67, 4 Tb 3.52-3.53, 2 Pr 3.63-3.64
4 Tb 0.9815 0.6277 0.2500  6 Er 3.51-3.67, 2 Pr 3.52-3.53, 4 Tb 3.52-3.64
5 Tb 0.1466 0.3725 0.5000  6 Er 3.50-3.67, 4 Tb 3.52-3.53, 2 Pr 3.63-3.64
6 Tb 0.4815 0.3723 0.2500  6 Er 3.51-3.67, 2 Pr 3.52-3.53, 4 Tb 3.52-3.64
7 Pr 0.1472 0.3736 0.0000  6 Tb 3.52-3.64, 6 Er 3.53-3.66
8 Pr 0.6472 0.6264 0.5000  6 Tb 3.52-3.64, 6 Er 3.53-3.66
9 Er 0.6480 0.1225 0.5000  6 Er 3.50-3.61, 4 Tb 3.51-3.63, 2 Pr 3.60-3.66
10 Er 0.6484 0.1221 0.0000  6 Er 3.48-3.61, 4 Tb 3.52-3.67, 2 Pr 3.62-3.63
11 Er 0.9811 0.1225 0.2517  6 Er 3.48-3.61, 5 Tb 3.50-3.67, 1 Pr 3.53
12 Er 0.4811 0.8775 0.7517  6 Er 3.48-3.61, 5 Tb 3.50-3.67, 1 Pr 3.53
13 Er 0.9811 0.1225 0.7483  6 Er 3.48-3.61, 5 Tb 3.50-3.67, 1 Pr 3.53
14 Er 0.4811 0.8775 0.2483  6 Er 3.48-3.61, 5 Tb 3.50-3.67, 1 Pr 3.53
15 Er 0.1484 0.8779 0.5000  6 Er 3.48-3.61, 4 Tb 3.52-3.67, 2 Pr 3.62-3.63
16 Er 0.1480 0.8775 0.0000  6 Er 3.50-3.61, 4 Tb 3.51-3.63, 2 Pr 3.60-3.66

Summary:
Fermi-level density of states   13.591 states/eV/f.u.
Magnetization   0.00 μB/f.u.
Crystal system   orthorhombic
Density   8308 kg/m3

#two
Tb3PrEr4 | PBE | optimized geometry

abc: 3.4311 8.8410 8.8457
angles: 81.87 78.74 78.89
With the nearest neighbours (Å) after each atom.
Sites, in units of the cell vectors:
1 Pr 0.5000 0.0000 0.0000  4 Er 3.39, 2 Pr 3.43, 4 Tb 3.57
2 Er 0.3637 0.3855 0.8848  3 Tb 3.30-3.65, 1 Pr 3.39, 5 Er 3.42-3.49
3 Er 0.3660 0.8848 0.3855  3 Tb 3.30-3.65, 1 Pr 3.39, 5 Er 3.42-3.49
4 Er 0.6340 0.1152 0.6145  3 Tb 3.30-3.65, 1 Pr 3.39, 5 Er 3.42-3.49
5 Er 0.6363 0.6145 0.1152  3 Tb 3.30-3.65, 1 Pr 3.39, 5 Er 3.42-3.49
6 Tb 0.7575 0.2425 0.2425  6 Er 3.30-3.65, 2 Tb 3.43, 2 Pr 3.57
7 Tb 0.2425 0.7575 0.7575  6 Er 3.30-3.65, 2 Tb 3.43, 2 Pr 3.57
8 Tb 0.0000 0.5000 0.5000  6 Tb 3.43-3.74, 8 Er 3.79

Summary:
Fermi-level density of states   14.376 states/eV/f.u.
Magnetization   0.00 μB/f.u.
Crystal system   monoclinic
Density   8323 kg/m3

Relative energies, unit meV/atom: #one 0; #two 129